This record from Alexandria via LeMat-Bulk describes a geometry-optimized Ac8Os3Pd2 structure. The functional is GGA-PBE.

Cell: 8.212 8.212 7.496 Å, 90.23 90.23 65.06°
Element x y z (fractional)
Ac1 0.113 0.113 0.333
Ac2 0.124 0.638 0.168
Ac3 0.362 0.876 0.832
Ac4 0.384 0.384 0.653
Ac5 0.616 0.616 0.347
Ac6 0.638 0.124 0.168
Ac7 0.876 0.362 0.832
Ac8 0.887 0.887 0.667
Os1 0.000 0.000 0.000
Os2 0.258 0.742 0.500
Os3 0.742 0.258 0.500
Pd1 0.253 0.253 0.997
Pd2 0.747 0.747 0.003

Values from the calculation:
The final energy is -6.141 eV/atom. The energy relative to the elements comes out at -0.2220 eV/atom. Its density of states at the Fermi level is 6.83 states/eV/cell.